Model P:
A plane-wave DFT calculation with GGA-PBE was carried out for a geometry-optimized Tb2Pm4Sm structure.

space group	Fdd2
DOS(E_F)	1.516	states/eV per atom

Unit cell a=12.5772 b=12.5772 c=6.8315 alpha=97.03 beta=97.03 gamma=150.12
Last column: nearest neighbours and their distance in Å.
Atoms (fractional coordinates):
Tb 0.6232 0.3036 0.4490  7 Pm 3.45-3.84, 2 Sm 3.47-3.63, 2 Tb 3.71
Tb 0.9242 0.1044 0.0513  7 Pm 3.45-3.84, 2 Sm 3.47-3.63, 2 Tb 3.71
Tb 0.1044 0.9242 0.5513  7 Pm 3.45-3.84, 2 Sm 3.47-3.63, 2 Tb 3.71
Tb 0.3036 0.6232 0.9490  7 Pm 3.45-3.84, 2 Sm 3.47-3.63, 2 Tb 3.71
Pm 0.7160 0.1791 0.8714  6 Pm 3.47-3.85, 2 Sm 3.58-3.69, 3 Tb 3.58-3.84
Pm 0.1791 0.7160 0.3714  6 Pm 3.47-3.85, 2 Sm 3.58-3.69, 3 Tb 3.58-3.84
Pm 0.1855 0.7938 0.9002  4 Tb 3.45-3.65, 5 Pm 3.47-3.85, 2 Sm 3.67-3.77
Pm 0.7938 0.1855 0.4002  4 Tb 3.45-3.65, 5 Pm 3.47-3.85, 2 Sm 3.67-3.77
Pm 0.0357 0.1441 0.6004  4 Tb 3.45-3.65, 5 Pm 3.47-3.85, 2 Sm 3.67-3.77
Pm 0.5582 0.5950 0.1293  6 Pm 3.47-3.85, 2 Sm 3.58-3.69, 3 Tb 3.58-3.84
Pm 0.5950 0.5582 0.6293  6 Pm 3.47-3.85, 2 Sm 3.58-3.69, 3 Tb 3.58-3.84
Pm 0.1441 0.0357 0.1004  4 Tb 3.45-3.65, 5 Pm 3.47-3.85, 2 Sm 3.67-3.77
Sm 0.4241 0.6742 0.5000  4 Tb 3.47-3.63, 8 Pm 3.58-3.77
Sm 0.6742 0.4241 0.0000  4 Tb 3.47-3.63, 8 Pm 3.58-3.77

Model Q:
A plane-wave DFT calculation with GGA-PBE was carried out for a geometry-optimized Tb2Pm4Sm structure.

space group	P2_1/m
DOS(E_F)	1.562	states/eV per atom

Unit cell a=6.1803 b=6.6687 c=11.7836 alpha=90.00 beta=104.94 gamma=90.00
Last column: nearest neighbours and their distance in Å.
Atoms (fractional coordinates):
Tb 0.5989 0.7500 0.9971  6 Pm 3.43-3.72, 2 Sm 3.46-3.71, 2 Tb 3.56
Tb 0.4011 0.2500 0.0029  6 Pm 3.43-3.72, 2 Sm 3.46-3.71, 2 Tb 3.56
Tb 0.2893 0.2500 0.4318  9 Pm 3.39-3.63
Tb 0.7107 0.7500 0.5682  9 Pm 3.39-3.63
Pm 0.6470 0.5045 0.2864  5 Pm 3.27-3.58, 1 Sm 3.45, 2 Tb 3.56-3.63
Pm 0.0175 0.7500 0.8547  3 Tb 3.42-3.55, 2 Pm 3.42, 3 Sm 3.44-3.49
Pm 0.9825 0.2500 0.1453  3 Tb 3.42-3.55, 2 Pm 3.42, 3 Sm 3.44-3.49
Pm 0.6470 0.9955 0.2864  5 Pm 3.27-3.58, 1 Sm 3.45, 2 Tb 3.56-3.63
Pm 0.8502 0.2500 0.5549  4 Tb 3.39-3.46, 1 Sm 3.41, 4 Pm 3.52-3.58
Pm 0.3530 0.0045 0.7136  5 Pm 3.27-3.58, 1 Sm 3.45, 2 Tb 3.56-3.63
Pm 0.3530 0.4955 0.7136  5 Pm 3.27-3.58, 1 Sm 3.45, 2 Tb 3.56-3.63
Pm 0.1498 0.7500 0.4451  4 Tb 3.39-3.46, 1 Sm 3.41, 4 Pm 3.52-3.58
Sm 0.1538 0.7500 0.1565  6 Pm 3.41-3.49, 2 Tb 3.46-3.71
Sm 0.8462 0.2500 0.8435  6 Pm 3.41-3.49, 2 Tb 3.46-3.71

model Q is the least stable structure shown above.